VASP calculation (PBE) on crystalline Nd2Ga2Ge at its relaxed geometry.

Cell: 4.1875 4.0405 14.2009 Å, 90.00 90.00 90.00°
Closest atoms and distances in Å follow each position.
Space group Amm2 (No. 38)
Asymmetric unit:
Nd 0.0000 0.0000 0.0000 [2 per cell]  4 Ge 3.08, 6 Ga 3.26-3.44
Nd 0.0000 0.0000 0.2523 [2 per cell]  8 Ga 3.08-3.39, 2 Ge 3.28
Ga 0.5000 0.0000 0.6298 [2 per cell]  1 Ga 2.75, 1 Ge 2.84
Ga 0.5000 0.0000 0.8236 [2 per cell]  2 Ge 2.52, 1 Ga 2.75
Ge 0.5000 0.0000 0.4297 [2 per cell]  2 Ga 2.52

Computed properties:
Energy relative to the elements: -648 meV/atom
D(E_F): 4.77 states/eV per cell